[1]
The following is a DFT calculation (GGA-PBE) of SrCaZn2Cu2 after structural relaxation.

abc: 4.416 4.416 7.980
angles: 90.00 90.00 120.00
Atoms (fractional coordinates):
Sr  0.000  0.000  0.000
Ca  0.000  0.000  0.500
Zn  0.667  0.333  0.726
Zn  0.333  0.667  0.274
Cu  0.667  0.333  0.275
Cu  0.333  0.667  0.725

Symmetry: P-3m1
E_form in eV/atom: -0.184



[2]
The following is a DFT calculation (GGA-PBE) of CaTa2Cu after structural relaxation.

abc: 5.735 5.735 5.735
angles: 139.64 139.64 58.40
Atoms (fractional coordinates):
Ca  0.250  0.750  0.500
Cu  0.750  0.250  0.500
Ta  0.000  0.000  0.000
Ta  0.500  0.500  0.000

Symmetry: I4/mmm
Relative energy among the computed polymorphs in meV/atom: 321
E_form in eV/atom: 0.630



[3]
The following is a DFT calculation (GGA-PBE) of CaTaCu after structural relaxation.

abc: 3.315 8.247 4.609
angles: 90.00 89.99 101.61
Atoms (fractional coordinates):
Ca  0.220  0.444  0.890
Ca  0.065  0.134  0.390
Cu  0.755  0.516  0.391
Cu  0.529  0.062  0.891
Ta  0.904  0.812  0.890
Ta  0.381  0.766  0.390

Symmetry: Cmcm
Relative energy among the computed polymorphs in meV/atom: 0
E_form in eV/atom: 0.193



[4]
The following is a DFT calculation (GGA-PBE) of CaTaCu after structural relaxation.

abc: 3.448 11.262 3.449
angles: 90.00 90.00 72.25
Atoms (fractional coordinates):
Ca  0.518  0.385  0.057
Ca  0.861  0.041  0.057
Cu  0.830  0.572  0.557
Cu  0.192  0.211  0.557
Ta  0.198  0.704  0.057
Ta  0.580  0.823  0.557

Symmetry: Pm
Relative energy among the computed polymorphs in meV/atom: 18
E_form in eV/atom: 0.212



[5]
The following is a DFT calculation (GGA-PBE) of CaTa2Cu after structural relaxation.

abc: 5.737 5.737 2.764
angles: 90.00 90.00 122.21
Atoms (fractional coordinates):
Ca  0.500  0.000  0.500
Cu  0.000  0.500  0.500
Ta  0.000  0.000  0.000
Ta  0.500  0.500  0.000

Symmetry: Cmmm
Relative energy among the computed polymorphs in meV/atom: 415
E_form in eV/atom: 0.724



[6]
The following is a DFT calculation (GGA-PBE) of CaTaCu after structural relaxation.

abc: 2.988 8.837 4.862
angles: 78.14 89.96 109.74
Atoms (fractional coordinates):
Ca  0.016  0.490  0.499
Ca  0.112  0.088  0.781
Cu  0.441  0.415  0.034
Cu  0.686  0.163  0.248
Ta  0.254  0.729  0.911
Ta  0.875  0.849  0.370

Symmetry: P-1
Relative energy among the computed polymorphs in meV/atom: 101
E_form in eV/atom: 0.294



[7]
The following is a DFT calculation (GGA-PBE) of CaTa2Cu after structural relaxation.

abc: 4.865 4.865 9.806
angles: 75.64 75.64 90.00
Atoms (fractional coordinates):
Ca  0.500  0.500  0.000
Ca  0.250  0.750  0.500
Cu  0.000  0.000  0.000
Cu  0.750  0.250  0.500
Ta  0.875  0.125  0.250
Ta  0.875  0.625  0.250
Ta  0.375  0.125  0.750
Ta  0.875  0.125  0.750

Symmetry: I4_1/amd
Relative energy among the computed polymorphs in meV/atom: 891
E_form in eV/atom: 1.200



[8]
The following is a DFT calculation (GGA-PBE) of CaTa2Cu after structural relaxation.

abc: 4.694 4.694 4.694
angles: 60.00 60.00 60.00
Atoms (fractional coordinates):
Ca  0.000  0.000  0.000
Cu  0.500  0.500  0.500
Ta  0.250  0.250  0.250
Ta  0.750  0.750  0.750

Symmetry: Fm-3m
Relative energy among the computed polymorphs in meV/atom: 681
E_form in eV/atom: 0.990



[9]
The following is a DFT calculation (GGA-PBE) of CaTaCu after structural relaxation.

abc: 7.541 4.056 8.286
angles: 90.00 90.00 90.00
Atoms (fractional coordinates):
Ca  0.040  0.250  0.833
Ca  0.460  0.750  0.333
Ca  0.960  0.750  0.167
Ca  0.540  0.250  0.667
Cu  0.766  0.250  0.361
Cu  0.734  0.750  0.861
Cu  0.234  0.750  0.639
Cu  0.266  0.250  0.139
Ta  0.111  0.250  0.449
Ta  0.389  0.750  0.949
Ta  0.889  0.750  0.551
Ta  0.611  0.250  0.051

Symmetry: Pnma
Relative energy among the computed polymorphs in meV/atom: 130
E_form in eV/atom: 0.323



[10]
The following is a DFT calculation (GGA-PBE) of CaTaCu after structural relaxation.

abc: 3.418 8.922 4.450
angles: 104.48 89.99 101.03
Atoms (fractional coordinates):
Ca  0.806  0.440  0.883
Ca  0.155  0.138  0.231
Cu  0.362  0.552  0.440
Cu  0.599  0.026  0.675
Ta  0.481  0.789  0.057
Ta  0.981  0.789  0.556

Symmetry: Cm
Relative energy among the computed polymorphs in meV/atom: 14
E_form in eV/atom: 0.207



[11]
The following is a DFT calculation (GGA-PBE) of CaTaCu after structural relaxation.

abc: 5.622 5.624 5.624
angles: 54.92 64.92 90.09
Atoms (fractional coordinates):
Ca  0.483  0.763  0.208
Ca  0.233  0.013  0.708
Cu  0.358  0.414  0.931
Cu  0.858  0.414  0.432
Ta  0.884  0.953  0.418
Ta  0.833  0.402  0.918

Symmetry: Ima2
Relative energy among the computed polymorphs in meV/atom: 98
E_form in eV/atom: 0.291



[12]
The following is a DFT calculation (GGA-PBE) of CaTaCu after structural relaxation.

abc: 4.559 4.559 4.559
angles: 60.00 60.00 60.00
Atoms (fractional coordinates):
Ca  0.500  0.500  0.500
Cu  0.250  0.250  0.250
Ta  0.000  0.000  0.000

Symmetry: F-43m
Relative energy among the computed polymorphs in meV/atom: 776
E_form in eV/atom: 0.969



[13]
The following is a DFT calculation (GGA-PBE) of CaTaCu4 after structural relaxation.

abc: 5.074 5.074 5.074
angles: 60.00 60.00 60.00
Atoms (fractional coordinates):
Ca  0.000  0.000  0.000
Ta  0.750  0.750  0.750
Cu  0.872  0.376  0.376
Cu  0.376  0.376  0.872
Cu  0.376  0.872  0.376
Cu  0.376  0.376  0.376

Symmetry: F-43m
E_form in eV/atom: 0.245



[14]
The following is a DFT calculation (GGA-PBE) of CaTa4Cu after structural relaxation.

abc: 5.591 5.591 5.591
angles: 60.00 60.00 60.00
Atoms (fractional coordinates):
Ca  0.750  0.750  0.750
Ta  0.870  0.377  0.377
Ta  0.377  0.377  0.870
Ta  0.377  0.870  0.377
Ta  0.377  0.377  0.377
Cu  0.000  0.000  0.000

Symmetry: F-43m
E_form in eV/atom: 0.649



no.,raw total energy (Ha/atom)
1,-0.095
2,-0.251
3,-0.213
4,-0.212
5,-0.247
6,-0.209
7,-0.230
8,-0.237
9,-0.208
10,-0.212
11,-0.209
12,-0.184
13,-0.176
14,-0.304